No. 1
! PrZn9Ni3 GGA-PBE relaxed; values from VASP
&SYSTEM
  ibrav = 0, nat = 13, ntyp = 3
/
ATOMIC_SPECIES
Zn 65.41 Zn.upf
Ni 58.69 Ni.upf
Pr 140.91 Pr.upf
CELL_PARAMETERS angstrom
4.6470 0.0435 1.8863
2.2868 6.1980 0.9283
-0.0488 0.0218 6.7874
ATOMIC_POSITIONS crystal
Zn 0.9957 0.3402 0.6460
Zn 0.0043 0.6598 0.3540
Ni 0.0000 0.0000 0.5000
Zn 0.2773 0.2209 0.2307
Zn 0.3583 0.6598 0.6460
Zn 0.4921 0.7791 0.2307
Zn 0.0000 0.5000 0.0000
Zn 0.5079 0.2209 0.7693
Ni 0.5000 0.5000 0.0000
Ni 0.5000 0.0000 0.5000
Pr 0.0000 0.0000 0.0000
Zn 0.7227 0.7791 0.7693
Zn 0.6417 0.3402 0.3540
! ΔH_f (0 K) = -0.261 eV/atom
! SG = C2/m



No. 2
! Bi6IrPd GGA-PBE relaxed; values from VASP
&SYSTEM
  ibrav = 0, nat = 8, ntyp = 3
/
ATOMIC_SPECIES
Bi 208.98 Bi.upf
Pd 106.42 Pd.upf
Ir 192.22 Ir.upf
CELL_PARAMETERS angstrom
-2.5659 0.3314 6.3491
2.6613 -3.8478 5.0126
3.5853 2.8856 5.0310
ATOMIC_POSITIONS crystal
Bi 0.7650 0.0423 0.7448
Bi 0.0409 0.4502 0.7425
Bi 0.5509 0.2337 0.2594
Bi 0.2350 0.9577 0.2552
Bi 0.9591 0.5498 0.2575
Pd 0.5000 0.5000 0.5000
Bi 0.4491 0.7663 0.7406
Ir 0.0000 0.0000 0.0000
! ΔH_f (0 K) = -0.011 eV/atom
! SG = P-1



No. 3
! PuHRh GGA-PBE relaxed; values from VASP
&SYSTEM
  ibrav = 0, nat = 6, ntyp = 3
/
ATOMIC_SPECIES
Pu 244.00 Pu.upf
H 1.01 H.upf
Rh 102.91 Rh.upf
CELL_PARAMETERS angstrom
4.8271 -0.0002 -0.0003
2.4128 4.3978 0.4063
2.4129 1.3694 4.1986
ATOMIC_POSITIONS crystal
Pu 0.4608 0.2678 0.4548
Pu 0.9608 0.7678 0.9548
H 0.4608 0.2678 0.9548
Rh 0.7107 0.5641 0.6585
Rh 0.2107 0.9715 0.2511
H 0.9608 0.2678 0.9547
! SG = Imma
! ΔE to the lowest computed polymorph = 0.0000 eV/atom



No. 4
! TmHg3Pd4 GGA-PBE relaxed; values from VASP
&SYSTEM
  ibrav = 0, nat = 16, ntyp = 3
/
ATOMIC_SPECIES
Tm 168.93 Tm.upf
Pd 106.42 Pd.upf
Hg 200.59 Hg.upf
CELL_PARAMETERS angstrom
4.6097 0.0000 0.0000
0.0000 6.9689 0.0000
0.0000 0.0000 9.2226
ATOMIC_POSITIONS crystal
Tm 0.0000 0.5000 0.0000
Pd 0.5000 0.2497 0.5000
Pd 0.0000 0.7503 0.2500
Hg 0.0000 0.0000 0.0000
Pd 0.0000 0.2497 0.2500
Hg 0.4999 0.0000 0.7500
Pd 0.5000 0.7503 0.5000
Hg 0.5000 0.5000 0.7500
Tm 0.0000 0.5000 0.5000
Hg 0.5001 0.0000 0.2500
Hg 0.5000 0.5000 0.2500
Hg 0.0000 0.0000 0.5000
Pd 0.5000 0.7503 0.0000
Pd 0.5000 0.2497 0.0000
Pd 0.0000 0.2497 0.7500
Pd 0.0000 0.7503 0.7500
! ΔH_f (0 K) = -0.443 eV/atom
! SG = P4/mmm



No. 5
! BeNbCo2H GGA-PBE relaxed; values from VASP
&SYSTEM
  ibrav = 0, nat = 5, ntyp = 4
/
ATOMIC_SPECIES
Nb 92.91 Nb.upf
Co 58.93 Co.upf
Be 9.01 Be.upf
H 1.01 H.upf
CELL_PARAMETERS angstrom
-1.1314 3.4321 -0.8557
-2.4491 -0.1118 2.7895
2.4600 1.3630 2.2145
ATOMIC_POSITIONS crystal
Nb 0.5000 0.5000 0.5000
Co 0.5000 0.0000 0.0000
Co 0.0000 0.5000 0.0000
Be 0.0000 0.0000 0.5000
H 0.0000 0.0000 0.0000
! SG = P4/mmm
! ΔE to the lowest computed polymorph = 0.0334 eV/atom



No. 6
! Ho3ThCo GGA-PBE relaxed; values from VASP
&SYSTEM
  ibrav = 0, nat = 5, ntyp = 3
/
ATOMIC_SPECIES
Ho 164.93 Ho.upf
Th 232.04 Th.upf
Co 58.93 Co.upf
CELL_PARAMETERS angstrom
-2.2340 -3.9282 -2.6442
1.6970 -3.3936 3.6078
-4.4207 0.6824 2.7212
ATOMIC_POSITIONS crystal
Ho 0.0000 0.5000 0.0000
Ho 0.0000 0.0000 0.5000
Th 0.5000 0.5000 0.5000
Ho 0.5000 0.0000 0.0000
Co 0.0000 0.0000 0.0000
! ΔH_f (0 K) = 0.062 eV/atom
! SG = Pm-3m



No. 7
! SrCa4Zn2 GGA-PBE relaxed; values from VASP
&SYSTEM
  ibrav = 0, nat = 14, ntyp = 3
/
ATOMIC_SPECIES
Ca 40.08 Ca.upf
Sr 87.62 Sr.upf
Zn 65.41 Zn.upf
CELL_PARAMETERS angstrom
-5.3596 2.7614 3.3057
-4.8972 -7.2265 -1.9032
4.1314 -0.8260 7.3882
ATOMIC_POSITIONS crystal
Ca 0.7500 0.0198 0.3945
Sr 0.7500 0.1517 0.0025
Zn 0.7500 0.7357 0.0217
Ca 0.2500 0.9802 0.6055
Sr 0.2500 0.8483 0.9975
Ca 0.5007 0.4186 0.7606
Ca 0.9993 0.4186 0.7606
Zn 0.7500 0.3788 0.4184
Ca 0.7500 0.7383 0.6555
Zn 0.2500 0.6212 0.5816
Zn 0.2500 0.2643 0.9783
Ca 0.2500 0.2617 0.3445
Ca 0.4993 0.5814 0.2394
Ca 0.0007 0.5814 0.2394
! ΔH_f (0 K) = -0.104 eV/atom
! SG = P2_1/m



No. 8
! Er4ThSc3 GGA-PBE relaxed; values from VASP
&SYSTEM
  ibrav = 0, nat = 8, ntyp = 3
/
ATOMIC_SPECIES
Er 167.26 Er.upf
Sc 44.96 Sc.upf
Th 232.04 Th.upf
CELL_PARAMETERS angstrom
-1.4378 2.6565 1.4410
5.4076 -2.4904 6.0763
4.2412 8.7545 -0.2736
ATOMIC_POSITIONS crystal
Er 0.6475 0.1231 0.6094
Sc 0.7399 0.2600 0.2601
Sc 0.0000 0.5000 0.5000
Er 0.3793 0.3901 0.8771
Er 0.6207 0.6099 0.1229
Sc 0.2601 0.7400 0.7399
Th 0.5000 0.0000 0.0000
Er 0.3525 0.8769 0.3906
! ΔH_f (0 K) = 0.141 eV/atom
! SG = C2/m
! ΔE to the lowest computed polymorph = 0.0000 eV/atom



No. 9
! BeH GGA-PBE relaxed; values from VASP
&SYSTEM
  ibrav = 0, nat = 4, ntyp = 2
/
ATOMIC_SPECIES
Be 9.01 Be.upf
H 1.01 H.upf
CELL_PARAMETERS angstrom
2.0810 0.0009 0.0089
1.0050 2.3424 0.0090
0.4113 -0.0705 6.1631
ATOMIC_POSITIONS crystal
Be 0.1248 0.7200 0.1458
H 0.5805 0.7402 0.3090
Be 0.8752 0.2800 0.8542
H 0.4195 0.2598 0.6910
! SG = P-1
! ΔE to the lowest computed polymorph = 0.0000 eV/atom



No. 10
! AlOsI3 GGA-PBE relaxed; values from VASP
&SYSTEM
  ibrav = 0, nat = 5, ntyp = 3
/
ATOMIC_SPECIES
Os 190.23 Os.upf
I 126.90 I.upf
Al 26.98 Al.upf
CELL_PARAMETERS angstrom
-0.2004 -2.8639 4.7528
5.1161 -1.9370 -0.9515
2.1488 4.3448 2.7087
ATOMIC_POSITIONS crystal
Os 0.5000 0.5000 0.5000
I 0.0000 0.0000 0.5000
I 0.5000 0.0000 0.0000
I 0.0000 0.5000 0.0000
Al 0.0000 0.0000 0.0000
! SG = Pm-3m
! ΔE to the lowest computed polymorph = 0.5178 eV/atom



No. 11
! PrHoSb GGA-PBE relaxed; values from VASP
&SYSTEM
  ibrav = 0, nat = 3, ntyp = 3
/
ATOMIC_SPECIES
Pr 140.91 Pr.upf
Ho 164.93 Ho.upf
Sb 121.76 Sb.upf
CELL_PARAMETERS angstrom
4.1592 0.0000 0.0000
0.0000 5.1089 0.0000
0.0000 -2.5545 4.4244
ATOMIC_POSITIONS crystal
Pr 0.6312 0.6667 0.3333
Ho 0.1112 0.0000 0.0000
Sb 0.2576 0.3333 0.6667
! SG = P3m1



No. 12
! PaZnCoPd GGA-PBE relaxed; values from VASP
&SYSTEM
  ibrav = 0, nat = 4, ntyp = 4
/
ATOMIC_SPECIES
Zn 65.41 Zn.upf
Co 58.93 Co.upf
Pa 231.04 Pa.upf
Pd 106.42 Pd.upf
CELL_PARAMETERS angstrom
4.6050 0.0000 0.0000
2.3025 3.9880 0.0000
2.3025 1.3293 3.7600
ATOMIC_POSITIONS crystal
Zn 0.2500 0.2500 0.2500
Co 0.5000 0.5000 0.5000
Pa 0.7500 0.7500 0.7500
Pd 0.0000 0.0000 0.0000
! ΔH_f (0 K) = -0.270 eV/atom
! SG = F-43m



Values for electronic total energy, eV/atom, ordered as above
-2.844; -4.678; -8.743; -3.712; -6.241; -5.590; -1.852; -5.442; -3.429; -2.730; -4.957; -6.037
Values for total moment, Bohr magnetons per cell, ordered as above
0.00; 0.00; 10.44; 0.00; 0.00; 0.00; 0.00; 0.00; 0.00; 4.27; 0.00; 0.00